Tb4NiPb, optimized geometry, DFT GGA-PBE; space group = P2_1/m; formation energy = -339 meV/atom
1.0
-0.626 -5.488 -1.400
4.351 -1.783 5.042
-5.992 3.085 6.260
Tb Ni Pb
8 2 2
Cartesian
-0.358 -1.999 6.672
-2.137 0.974 6.954
-4.478 -1.353 5.743
-2.258 -4.289 0.484
-0.130 -5.161 2.949
-1.909 -2.187 3.231
2.212 -2.833 4.160
-0.009 0.103 9.419
-2.343 0.114 4.419
0.076 -4.301 5.484
-2.774 -2.356 8.630
0.507 -1.830 1.272